Entry 1:
Density functional theory data (PBE) for K2NaCoAs after structural relaxation.

The structure belongs to space group P4/mmm (No. 123); the cell edges are 6.166, 6.166 and 5.075 Å and the angles 90.00°, 90.00° and 90.00°. Symmetry generates all atoms from K at (0.000, 0.500, 0.000), Na at (0.000, 0.000, 0.000), Co at (0.500, 0.500, 0.500) and As at (0.000, 0.000, 0.500).

Its magnetic moment is 2.29 μB per formula unit.

Entry 2:
Density functional theory data (PBE) for CdAsIrRh2 after structural relaxation.

The structure belongs to space group P4/mmm (No. 123); the cell edges are 4.552, 4.552 and 4.574 Å and the angles 90.00°, 90.00° and 90.00°. Symmetry generates all atoms from Cd at (0.000, 0.000, 0.000), As at (0.500, 0.500, 0.500), Ir at (0.500, 0.500, 0.000) and Rh at (0.000, 0.500, 0.500).

Its magnetic moment is 0.00 μB per formula unit.

Number 1: theoretical density 2.02 g/cm³, VASP energy -2.280 eV per atom. Number 2: theoretical density 10.26 g/cm³, VASP energy -5.449 eV per atom.